Computed, not measured: an optimized crystal structure of Cs2Pm2SbO6 at the GGA-PBE level of DFT.

- E_tot (eV per formula unit) = -69.266
- total magnetic moment (μB/atom) = 0.031
- ΔE_f (raw) (eV per atom) = -2.1988
- symmetry = C2/m

```
Cs2Pm2SbO6
1.0
3.0814 -5.3065 0.0000
3.0814 5.3065 0.0000
-1.9156 0.0000 7.0691
Cs Pm Sb O
2 2 1 6
Direct
0.1654 0.8346 0.0000
0.8346 0.1654 0.0000
0.3346 0.6654 0.5000
0.6654 0.3346 0.5000
0.0000 0.0000 0.5000
0.0453 0.3606 0.6570
0.2551 0.2551 0.3414
0.3606 0.0453 0.6570
0.6394 0.9547 0.3430
0.7449 0.7449 0.6586
0.9547 0.6394 0.3430
```